No. 1
This record from Alexandria via LeMat-Bulk describes a relaxed structure of KAlRh3. The functional is PBE.

Results
* excess energy over the best structure of this formula in the dataset: 1.512 eV/atom
* SG: Pm-3m (221)
* DFT formation energy: 2.033 eV per atom

Cell lengths 4.6973, 4.6973, 4.6973 Å; angles 90.00, 90.00, 90.00 degrees
Closest atoms and distances in Å follow each position.
Sites, in units of the cell vectors:
K 0.0000 0.0000 0.0000  6 Rh 2.35
Al 0.5000 0.5000 0.5000  12 Rh 3.32
Rh 0.0000 0.0000 0.5000  2 K 2.35
Rh 0.0000 0.5000 0.0000  2 K 2.35
Rh 0.5000 0.0000 0.0000  2 K 2.35

No. 2
This record from Alexandria via LeMat-Bulk describes a relaxed structure of KAlRh2. The functional is PBE.

Results
* SG: Pmm2 (25)
* DFT formation energy: 0.063 eV per atom

Cell lengths 2.8366, 3.8082, 7.5208 Å; angles 90.00, 90.00, 90.00 degrees
Closest atoms and distances in Å follow each position.
Sites, in units of the cell vectors:
K 0.0000 0.0000 0.0000  2 K 2.84
Al 0.5000 0.5000 0.6238  5 Rh 2.40-2.51
Rh 0.0000 0.0000 0.5143  4 Al 2.51
Rh 0.5000 0.5000 0.3045  1 Al 2.40

No. 3
This record from Alexandria via LeMat-Bulk describes a relaxed structure of KAlRh2. The functional is PBE.

Results
* SG: I-4m2 (119)
* DFT formation energy: 0.538 eV per atom

Cell lengths 5.2275, 5.2275, 5.2275 Å; angles 135.00, 135.00, 65.53 degrees
Closest atoms and distances in Å follow each position.
Sites, in units of the cell vectors:
K 0.0000 0.0000 0.0000  8 Rh 2.83-2.97, 4 Al 2.97
Al 0.7500 0.2500 0.5000  8 Rh 2.83-2.97, 4 K 2.97
Rh 0.2500 0.7500 0.5000  4 Al 2.83, 4 Rh 2.97, 4 K 2.97
Rh 0.5000 0.5000 0.0000  4 K 2.83, 4 Al 2.97, 4 Rh 2.97

No. 4
This record from Alexandria via LeMat-Bulk describes a relaxed structure of KAlRh2. The functional is PBE.

Results
* SG: C2/m (12)
* DFT formation energy: 0.454 eV per atom

Cell lengths 5.3282, 5.3282, 2.8297 Å; angles 102.44, 102.44, 111.16 degrees
Closest atoms and distances in Å follow each position.
Sites, in units of the cell vectors:
K 0.0000 0.0000 0.0000  4 Rh 2.73, 2 K 2.83, 2 Al 3.01
Al 0.5000 0.5000 0.0000  4 Rh 2.73, 2 Al 2.83, 2 K 3.01
Rh 0.0000 0.5000 0.5000  2 Al 2.73, 2 K 2.73, 4 Rh 2.83-3.01
Rh 0.5000 0.0000 0.5000  2 Al 2.73, 2 K 2.73, 4 Rh 2.83-3.01